[1]
Entry from the Alexandria database: VOsIN2 after structural relaxation (PBE).

The distance to the lowest polymorph of the same formula is 0 meV per atom. The value obtained for the formation energy without anion corrections is 0.997 eV/atom.

The space group is P4/mmm (No. 123) and the conventional cell measures 3.8545, 3.8545 and 5.9731 Å, with angles of 90.00, 90.00 and 90.00 degrees. Symmetry generates all atoms from V at (0.0000, 0.0000, 0.0000), Os at (0.5000, 0.5000, 0.5000), I at (0.5000, 0.5000, 0.0000) and N at (0.0000, 0.5000, 0.5000).

[2]
Entry from the Alexandria database: VOsIN2 after structural relaxation (PBE).

The distance to the lowest polymorph of the same formula is 367 meV per atom. The value obtained for the formation energy without anion corrections is 1.364 eV/atom.

The space group is P4/mmm (No. 123) and the conventional cell measures 3.7755, 3.7755 and 5.9413 Å, with angles of 90.00, 90.00 and 90.00 degrees. Symmetry generates all atoms from V at (0.0000, 0.0000, 0.0000), Os at (0.5000, 0.5000, 0.5000), I at (0.0000, 0.0000, 0.5000) and N at (0.0000, 0.5000, 0.0000).

[3]
Entry from the Alexandria database: VOsI2N after structural relaxation (PBE).

The distance to the lowest polymorph of the same formula is 128 meV per atom. The value obtained for the formation energy without anion corrections is 1.108 eV/atom.

The space group is P4/mmm (No. 123) and the conventional cell measures 5.3561, 5.3561 and 3.5570 Å, with angles of 90.00, 90.00 and 90.00 degrees. Symmetry generates all atoms from V at (0.0000, 0.0000, 0.0000), Os at (0.5000, 0.5000, 0.5000), I at (0.0000, 0.5000, 0.0000) and N at (0.0000, 0.0000, 0.5000).

[4]
Entry from the Alexandria database: VOsI2N after structural relaxation (PBE).

The distance to the lowest polymorph of the same formula is 0 meV per atom. The value obtained for the formation energy without anion corrections is 0.981 eV/atom.

The space group is P4/mmm (No. 123) and the conventional cell measures 5.5316, 5.5316 and 3.7161 Å, with angles of 90.00, 90.00 and 90.00 degrees. Symmetry generates all atoms from V at (0.0000, 0.0000, 0.0000), Os at (0.5000, 0.5000, 0.5000), I at (0.0000, 0.5000, 0.5000) and N at (0.5000, 0.5000, 0.0000).

[5]
Entry from the Alexandria database: OsWIN2 after structural relaxation (PBE).

The distance to the lowest polymorph of the same formula is 0 meV per atom. The value obtained for the formation energy without anion corrections is 1.443 eV/atom.

The space group is P4/mmm (No. 123) and the conventional cell measures 3.9080, 3.9080 and 5.8929 Å, with angles of 90.00, 90.00 and 90.00 degrees. Symmetry generates all atoms from Os at (0.0000, 0.0000, 0.0000), W at (0.5000, 0.5000, 0.5000), I at (0.5000, 0.5000, 0.0000) and N at (0.0000, 0.5000, 0.5000).

[6]
Entry from the Alexandria database: OsWIN2 after structural relaxation (PBE).

The distance to the lowest polymorph of the same formula is 285 meV per atom. The value obtained for the formation energy without anion corrections is 1.728 eV/atom.

The space group is P4/mmm (No. 123) and the conventional cell measures 3.8599, 3.8599 and 6.1340 Å, with angles of 90.00, 90.00 and 90.00 degrees. Symmetry generates all atoms from Os at (0.0000, 0.0000, 0.0000), W at (0.5000, 0.5000, 0.5000), I at (0.0000, 0.0000, 0.5000) and N at (0.0000, 0.5000, 0.0000).

[7]
Entry from the Alexandria database: YOsIN2 after structural relaxation (PBE).

The distance to the lowest polymorph of the same formula is 0 meV per atom. The value obtained for the formation energy without anion corrections is 0.576 eV/atom.

The space group is P4/mmm (No. 123) and the conventional cell measures 4.0310, 4.0310 and 5.4696 Å, with angles of 90.00, 90.00 and 90.00 degrees. Symmetry generates all atoms from Y at (0.0000, 0.0000, 0.0000), Os at (0.5000, 0.5000, 0.5000), I at (0.5000, 0.5000, 0.0000) and N at (0.0000, 0.5000, 0.5000).

[8]
Entry from the Alexandria database: YOsIN2 after structural relaxation (PBE).

The distance to the lowest polymorph of the same formula is 1158 meV per atom. The value obtained for the formation energy without anion corrections is 1.735 eV/atom.

The space group is P4/mmm (No. 123) and the conventional cell measures 4.3043, 4.3043 and 6.2436 Å, with angles of 90.00, 90.00 and 90.00 degrees. Symmetry generates all atoms from Y at (0.0000, 0.0000, 0.0000), Os at (0.5000, 0.5000, 0.5000), I at (0.0000, 0.0000, 0.5000) and N at (0.0000, 0.5000, 0.0000).

[9]
Entry from the Alexandria database: ZrOsI2N after structural relaxation (PBE).

The distance to the lowest polymorph of the same formula is 0 meV per atom. The value obtained for the formation energy without anion corrections is 0.620 eV/atom.

The space group is P4/mmm (No. 123) and the conventional cell measures 5.5737, 5.5737 and 3.7021 Å, with angles of 90.00, 90.00 and 90.00 degrees. Symmetry generates all atoms from Zr at (0.0000, 0.0000, 0.0000), Os at (0.5000, 0.5000, 0.5000), I at (0.0000, 0.5000, 0.5000) and N at (0.5000, 0.5000, 0.0000).

[10]
Entry from the Alexandria database: ZrOsI2N after structural relaxation (PBE).

The distance to the lowest polymorph of the same formula is 444 meV per atom. The value obtained for the formation energy without anion corrections is 1.064 eV/atom.

The space group is P4/mmm (No. 123) and the conventional cell measures 5.9173, 5.9173 and 3.9720 Å, with angles of 90.00, 90.00 and 90.00 degrees. Symmetry generates all atoms from Zr at (0.0000, 0.0000, 0.0000), Os at (0.5000, 0.5000, 0.5000), I at (0.0000, 0.5000, 0.0000) and N at (0.0000, 0.0000, 0.5000).

[11]
Entry from the Alexandria database: PI2N after structural relaxation (PBE).

The distance to the lowest polymorph of the same formula is 386 meV per atom. The value obtained for the formation energy without anion corrections is 1.857 eV/atom.

The space group is Fm-3m (No. 225) and the conventional cell measures 6.8556, 6.8556 and 6.8556 Å, with angles of 90.00, 90.00 and 90.00 degrees. Symmetry generates all atoms from P at (0.0000, 0.0000, 0.0000), I at (0.2500, 0.2500, 0.2500) and N at (0.0000, 0.0000, 0.5000).

[12]
Entry from the Alexandria database: PI2N after structural relaxation (PBE).

The distance to the lowest polymorph of the same formula is 0 meV per atom. The value obtained for the formation energy without anion corrections is 1.470 eV/atom.

The space group is I-42d (No. 122) and the conventional cell measures 6.9318, 6.9318 and 7.7170 Å, with angles of 90.00, 90.00 and 90.00 degrees. Symmetry generates all atoms from P at (0.0000, 0.0000, 0.0000), I at (0.2152, 0.2500, 0.6250) and N at (0.0000, 0.0000, 0.5000).